First-principles (PBE+U) data for a relaxed structure of NaWF2, as listed in Alexandria.

Calculated values
- magnetic moment (μB/atom) = 1.23
- relative energy among the computed polymorphs (meV/atom) = 709.4
- VASP energy (eV for the cell shown) = -15.39

abc: 4.4176 4.4176 4.4176
angles: 60.00 60.00 60.00
Element x y z (fractional)
1 Na 0.0000 0.0000 0.0000
2 W 0.5000 0.5000 0.5000
3 F 0.2500 0.2500 0.2500
4 F 0.7500 0.7500 0.7500